1.
Density functional theory data (PBE) for a relaxed CaPmTh2Se4 crystal.

abc: 7.1099 4.0957 7.5450
angles: 90.00 108.24 90.00
Fractional coordinates of all 8 atoms:
Ca 0.0000 0.0000 0.0000
Pm 0.5000 0.5000 0.0000
Th 0.0000 0.5000 0.5000
Th 0.5000 0.0000 0.5000
Se 0.2429 0.5000 0.2398
Se 0.2483 0.0000 0.7573
Se 0.7517 0.0000 0.2427
Se 0.7571 0.5000 0.7602

Values from the calculation:
The value obtained for the total energy is -6.128 eV per atom. The value obtained for the density of states at the Fermi level is 0.6274 states/eV/atom.

***

2.
Density functional theory data (PBE) for a relaxed Li4Mg5Rh crystal.

abc: 3.2547 3.2547 17.8323
angles: 90.00 90.00 90.00
Fractional coordinates of all 10 atoms:
Li 0.0000 0.0000 0.1038
Li 0.0000 0.0000 0.3153
Li 0.0000 0.0000 0.6847
Li 0.0000 0.0000 0.8962
Mg 0.5000 0.5000 0.0000
Mg 0.5000 0.5000 0.2090
Mg 0.5000 0.5000 0.4190
Mg 0.5000 0.5000 0.5810
Mg 0.5000 0.5000 0.7910
Rh 0.0000 0.0000 0.5000

Values from the calculation:
The value obtained for the total energy is -2.463 eV per atom. For the formation energy, the calculation gives -1.7 eV per formula unit. The value obtained for the density of states at the Fermi level is 0.4484 states/eV/atom.

***

3.
Density functional theory data (PBE) for a relaxed K2RbBaZn crystal.

abc: 6.9297 6.9297 6.5730
angles: 90.00 90.00 90.00
Fractional coordinates of all 5 atoms:
K 0.0000 0.5000 0.0000
K 0.5000 0.0000 0.0000
Rb 0.0000 0.0000 0.5000
Ba 0.5000 0.5000 0.5000
Zn 0.5000 0.5000 0.0000

Values from the calculation:
The value obtained for the total energy is -1.178 eV per atom. For the formation energy, the calculation gives 0.5 eV per formula unit. The value obtained for the density of states at the Fermi level is 0.8459 states/eV/atom.

***

4.
Density functional theory data (PBE) for a relaxed SrTaP2Cl crystal.

abc: 5.3810 5.3810 5.0303
angles: 90.00 90.00 90.00
Fractional coordinates of all 5 atoms:
Sr 0.0000 0.0000 0.0000
Ta 0.5000 0.5000 0.5000
P 0.0000 0.5000 0.0000
P 0.5000 0.0000 0.0000
Cl 0.0000 0.0000 0.5000

Values from the calculation:
The value obtained for the total energy is -3.833 eV per atom. The value obtained for the density of states at the Fermi level is 1.8576 states/eV/atom. As for the energy above the most stable polymorph in this dataset: 2163 meV per atom.

***

5.
Density functional theory data (PBE) for a relaxed AsH2Au crystal.

abc: 5.0271 5.0271 7.8984
angles: 90.00 90.00 90.00
Fractional coordinates of all 16 atoms:
As 0.0000 0.0000 0.0000
As 0.0000 0.5000 0.2500
As 0.5000 0.0000 0.7500
As 0.5000 0.5000 0.5000
H 0.1696 0.2500 0.6250
H 0.2500 0.6696 0.8750
H 0.2500 0.8304 0.3750
H 0.3304 0.2500 0.1250
H 0.6696 0.7500 0.1250
H 0.7500 0.1696 0.3750
H 0.7500 0.3304 0.8750
H 0.8304 0.7500 0.6250
Au 0.0000 0.0000 0.5000
Au 0.0000 0.5000 0.7500
Au 0.5000 0.0000 0.2500
Au 0.5000 0.5000 0.0000

Values from the calculation:
The value obtained for the total energy is -3.069 eV per atom. The value obtained for the density of states at the Fermi level is 0.3229 states/eV/atom. As for the energy above the most stable polymorph in this dataset: 0 meV per atom.

***

6.
Density functional theory data (PBE) for a relaxed CaBiMo2S crystal.

abc: 4.5198 4.5198 5.6177
angles: 90.00 90.00 90.00
Fractional coordinates of all 5 atoms:
Ca 0.0000 0.0000 0.0000
Bi 0.5000 0.5000 0.0000
Mo 0.0000 0.5000 0.5000
Mo 0.5000 0.0000 0.5000
S 0.5000 0.5000 0.5000

Values from the calculation:
The value obtained for the total energy is -5.872 eV per atom. The value obtained for the density of states at the Fermi level is 1.0477 states/eV/atom. As for the energy above the most stable polymorph in this dataset: 0 meV per atom.

***

7.
Density functional theory data (PBE) for a relaxed EuPaS2 crystal.

abc: 3.9290 3.9290 20.2298
angles: 90.00 90.00 120.00
Fractional coordinates of all 12 atoms:
Eu 0.0000 0.0000 0.0000
Eu 0.3333 0.6667 0.6667
Eu 0.6667 0.3333 0.3333
Pa 0.0000 0.0000 0.5000
Pa 0.3333 0.6667 0.1667
Pa 0.6667 0.3333 0.8333
S 0.0000 0.0000 0.2470
S 0.0000 0.0000 0.7530
S 0.3333 0.6667 0.4197
S 0.3333 0.6667 0.9136
S 0.6667 0.3333 0.0864
S 0.6667 0.3333 0.5803

Values from the calculation:
The value obtained for the total energy is -8.785 eV per atom. The value obtained for the density of states at the Fermi level is 1.1206 states/eV/atom. As for the energy above the most stable polymorph in this dataset: 0 meV per atom.

***

8.
Density functional theory data (PBE) for a relaxed Be2SiBr crystal.

abc: 3.1150 3.5047 6.3104
angles: 90.00 90.00 90.00
Fractional coordinates of all 4 atoms:
Be 0.0000 0.0000 0.0000
Be 0.0000 0.5000 0.5000
Si 0.5000 0.0000 0.5000
Br 0.5000 0.5000 0.0000

Values from the calculation:
The value obtained for the total energy is -2.874 eV per atom. The value obtained for the density of states at the Fermi level is 0.2382 states/eV/atom. As for the energy above the most stable polymorph in this dataset: 472 meV per atom.

***

9.
Density functional theory data (PBE) for a relaxed Li3Tb2Tl3 crystal.

abc: 8.8056 8.8056 6.4157
angles: 90.00 90.00 120.00
Fractional coordinates of all 16 atoms:
Li 0.0000 0.2759 0.2500
Li 0.0000 0.7241 0.7500
Li 0.2759 0.0000 0.2500
Li 0.2759 0.2759 0.7500
Li 0.7241 0.0000 0.7500
Li 0.7241 0.7241 0.2500
Tb 0.3333 0.6667 0.0000
Tb 0.3333 0.6667 0.5000
Tb 0.6667 0.3333 0.0000
Tb 0.6667 0.3333 0.5000
Tl 0.0000 0.3726 0.7500
Tl 0.0000 0.6274 0.2500
Tl 0.3726 0.0000 0.7500
Tl 0.3726 0.3726 0.2500
Tl 0.6274 0.0000 0.2500
Tl 0.6274 0.6274 0.7500

Values from the calculation:
The value obtained for the total energy is -2.941 eV per atom. For the formation energy, the calculation gives -1.4 eV per formula unit. The value obtained for the density of states at the Fermi level is 0.7756 states/eV/atom.

***

10.
Density functional theory data (PBE) for a relaxed SbWSe2Br crystal.

abc: 4.9627 4.9627 5.1468
angles: 90.00 90.00 90.00
Fractional coordinates of all 5 atoms:
Sb 0.0000 0.0000 0.0000
W 0.5000 0.5000 0.5000
Se 0.0000 0.5000 0.5000
Se 0.5000 0.0000 0.5000
Br 0.5000 0.5000 0.0000

Values from the calculation:
The value obtained for the total energy is -4.694 eV per atom. The value obtained for the density of states at the Fermi level is 1.0834 states/eV/atom. As for the energy above the most stable polymorph in this dataset: 0 meV per atom.

***

11.
Density functional theory data (PBE) for a relaxed AlS crystal.

abc: 3.6154 13.0299 4.9886
angles: 90.00 90.00 90.00
Fractional coordinates of all 12 atoms:
Al 0.2500 0.0380 0.1864
Al 0.2500 0.4620 0.1864
Al 0.2500 0.7500 0.2800
Al 0.7500 0.2500 0.7200
Al 0.7500 0.5380 0.8136
Al 0.7500 0.9620 0.8136
S 0.2500 0.2500 0.9914
S 0.2500 0.6042 0.5275
S 0.2500 0.8958 0.5275
S 0.7500 0.1042 0.4725
S 0.7500 0.3958 0.4725
S 0.7500 0.7500 0.0086

Values from the calculation:
The value obtained for the total energy is -4.701 eV per atom. The value obtained for the density of states at the Fermi level is 0.1766 states/eV/atom.

***

12.
Density functional theory data (PBE) for a relaxed ThTl2TeO6 crystal.

abc: 6.0693 6.0693 6.0693
angles: 60.00 60.00 60.00
Fractional coordinates of all 10 atoms:
Th 0.0000 0.0000 0.0000
Tl 0.2500 0.2500 0.2500
Tl 0.7500 0.7500 0.7500
Te 0.5000 0.5000 0.5000
O 0.2705 0.2705 0.7295
O 0.2705 0.7295 0.2705
O 0.2705 0.7295 0.7295
O 0.7295 0.2705 0.2705
O 0.7295 0.2705 0.7295
O 0.7295 0.7295 0.2705

Values from the calculation:
The value obtained for the total energy is -6.268 eV per atom. The value obtained for the density of states at the Fermi level is 0.0000 states/eV/atom.